First-principles (GGA-PBE) data for AcTbCeNd after structural relaxation, as listed in the Alexandria database.

Values from the calculation:
As for the space-group type: F-43m (216). The value obtained for the density of states at the Fermi level is 13.0 states/eV/cell. Its formation energy is 0.86 eV per formula unit. The value obtained for the volume is 145 Å³ per cell. The value obtained for the total energy is -18.6 eV/cell.

Cell and atoms, written as extended XYZ:
```
4
Lattice="-0.8760 -2.7840 5.1223 4.3600 -0.3396 3.9536 -0.3207 3.0843 5.0140" Properties=species:S:1:pos:R:3 pbc="T T T"
Ac 1.5817 -0.0196 7.0450
Ce 0.0000 0.0000 0.0000
Tb 2.3725 -0.0295 10.5675
Nd 0.7908 -0.0098 3.5225
```


First-principles (GGA-PBE) data for Tc4OsCl after structural relaxation, as listed in the Alexandria database.

Values from the calculation:
As for the space-group type: F-43m (216). The value obtained for the density of states at the Fermi level is 5.5 states/eV/cell. The value obtained for the energy relative to the elements, uncorrected is 613 kJ/mol of formula units. The value obtained for the volume is 96 Å³ per cell. The value obtained for the total energy is -48.2 eV/cell.

Cell and atoms, written as extended XYZ:
```
6
Lattice="-2.1355 2.0414 4.1950 -4.4382 2.5490 -0.3620 -4.2919 -2.0330 1.9422" Properties=species:S:1:pos:R:3 pbc="T T T"
Tc -6.2896 2.2290 1.9890
Tc -4.0810 0.9605 2.1691
Tc -6.2168 -0.0512 3.1357
Tc -5.1438 1.9764 4.2567
Os 0.0000 0.0000 0.0000
Cl -8.1492 1.9180 4.3314
```


> What is the formula in the first record?

AcTbCeNd